TbDyNiGe: optimized geometry, PBE.

Cell lengths 6.983, 6.983, 6.983 Å; angles 90.00, 90.00, 90.00 degrees
Space group F-43m (No. 216)
Inequivalent atoms, fractional coordinates:
Tb 0.000 0.000 0.000 (multiplicity 4)
Dy 0.000 0.000 0.500 (multiplicity 4)
Ni 0.250 0.250 0.750 (multiplicity 4)
Ge 0.250 0.250 0.250 (multiplicity 4)

Output
Energy of formation from the pure elements (eV per formula unit): -2.15
Uncorrected energy (eV per atom): -5.445
D(E_F) (states/eV/atom): 0.328
Size of the total moment (μB per formula unit): 0.00